# 1
A plane-wave DFT calculation with PBE-GGA was carried out for Pr7NdTm4 after structural relaxation.

Summary:
calculated formation energy	201	meV/atom
crystal system	monoclinic
uncorrected energy	-4.48	eV per atom
spin magnetization	0.181	μB per formula unit
E above lowest polymorph	2.31	eV per formula unit

Geometry as CIF:
```
data_Pr7NdTm4
_chemical_formula_sum 'Pr14 Nd2 Tm8'
_symmetry_space_group_name_H-M 'C 1 2/m 1'
_symmetry_Int_Tables_number 12
_cell_length_a 16.230
_cell_length_b 6.048
_cell_length_c 9.598
_cell_angle_alpha 90.00
_cell_angle_beta 117.70
_cell_angle_gamma 90.00
loop_
_symmetry_equiv_pos_as_xyz
'x,y,z'
'-x,-y,-z'
'-x,y,-z'
'x,-y,z'
'x+1/2,y+1/2,z'
'-x+1/2,-y+1/2,-z'
'-x+1/2,y+1/2,-z'
'x+1/2,-y+1/2,z'
loop_
_atom_site_label
_atom_site_type_symbol
_atom_site_fract_x
_atom_site_fract_y
_atom_site_fract_z
Pr1 Pr 0.000 0.000 0.000
Pr2 Pr 0.090 0.500 0.458
Pr3 Pr 0.216 0.500 0.890
Pr4 Pr 0.221 0.500 0.252
Nd1 Nd 0.000 0.500 0.000
Tm1 Tm 0.067 0.000 0.700
Tm2 Tm 0.166 0.000 0.369
```

***

# 2
A plane-wave DFT calculation with PBE-GGA was carried out for Er2H8Rh3 after structural relaxation.

Summary:
crystal system	monoclinic
uncorrected energy	-4.87	eV per atom
spin magnetization	0.000	μB per formula unit

Geometry as CIF:
```
data_Er2H8Rh3
_chemical_formula_sum 'Er4 H16 Rh6'
_symmetry_space_group_name_H-M 'C 1 2/m 1'
_symmetry_Int_Tables_number 12
_cell_length_a 9.431
_cell_length_b 5.650
_cell_length_c 4.978
_cell_angle_alpha 90.00
_cell_angle_beta 111.31
_cell_angle_gamma 90.00
loop_
_symmetry_equiv_pos_as_xyz
'x,y,z'
'-x,-y,-z'
'-x,y,-z'
'x,-y,z'
'x+1/2,y+1/2,z'
'-x+1/2,-y+1/2,-z'
'-x+1/2,y+1/2,-z'
'x+1/2,-y+1/2,z'
loop_
_atom_site_label
_atom_site_type_symbol
_atom_site_fract_x
_atom_site_fract_y
_atom_site_fract_z
Er1 Er 0.197 0.000 0.194
H1 H 0.105 0.500 0.380
H2 H 0.108 0.295 0.881
H3 H 0.129 0.000 0.583
Rh1 Rh 0.000 0.245 0.500
Rh2 Rh 0.000 0.500 0.000
```

***

# 3
A plane-wave DFT calculation with PBE-GGA was carried out for SrAl2GaRe after structural relaxation.

Summary:
calculated formation energy	-228	meV/atom
crystal system	tetragonal
uncorrected energy	-5.16	eV per atom
spin magnetization	0.000	μB per formula unit

Geometry as CIF:
```
data_SrAl2GaRe
_chemical_formula_sum 'Sr1 Al2 Ga1 Re1'
_symmetry_space_group_name_H-M 'P 4/m m m'
_symmetry_Int_Tables_number 123
_symmetry_space_group_name_Hall '-P 4 2'
_cell_length_a 4.862
_cell_length_b 4.862
_cell_length_c 4.916
_cell_angle_alpha 90.00
_cell_angle_beta 90.00
_cell_angle_gamma 90.00
loop_
_atom_site_label
_atom_site_type_symbol
_atom_site_fract_x
_atom_site_fract_y
_atom_site_fract_z
Sr1 Sr 0.000 0.000 0.000
Al1 Al 0.000 0.500 0.500
Ga1 Ga 0.500 0.500 0.000
Re1 Re 0.500 0.500 0.500
```

***

# 4
A plane-wave DFT calculation with PBE-GGA was carried out for Mg2SiAgSe4 after structural relaxation.

Summary:
E_form (uncorrected)	-0.6239	eV per atom
crystal system	orthorhombic
uncorrected energy	-3.80	eV per atom
spin magnetization	0.000	μB per formula unit

Geometry as CIF:
```
data_Mg2SiAgSe4
_chemical_formula_sum 'Mg8 Si4 Ag4 Se16'
_symmetry_space_group_name_H-M 'F m m 2'
_symmetry_Int_Tables_number 42
_symmetry_space_group_name_Hall 'F 2 -2'
_cell_length_a 8.623
_cell_length_b 8.659
_cell_length_c 11.449
_cell_angle_alpha 90.00
_cell_angle_beta 90.00
_cell_angle_gamma 90.00
loop_
_atom_site_label
_atom_site_type_symbol
_atom_site_fract_x
_atom_site_fract_y
_atom_site_fract_z
Mg1 Mg 0.250 0.250 0.000
Si1 Si 0.000 0.000 0.250
Ag1 Ag 0.000 0.000 0.750
Se1 Se 0.000 0.235 0.129
Se2 Se 0.234 0.000 0.372
```